Entry 1:
CaCrS2 | Alexandria via LeMat-Bulk | GGA-PBEsol | relaxed; formation energy (no corrections) = -776 meV/atom; calculated density = 3.700 g/cm3; E above lowest polymorph = 0.0 meV/atom
1.0
4.6284 0.0000 0.0000
2.3142 4.0083 0.0000
2.3142 1.3361 3.7791
Cr Ca S
1 1 2
direct
0.5000 0.5000 0.5000
0.0000 0.0000 0.0000
0.2500 0.2500 0.2500
0.7500 0.7500 0.7500

Entry 2:
Sr5Pb4 | Alexandria via LeMat-Bulk | GGA-PBEsol | relaxed; calculated density = 6.805 g/cm3; energy relative to the elements = -0.52 eV/atom
1.0
7.2812 0.0000 0.0000
0.0000 9.9019 0.0000
0.0000 -4.9509 8.5753
Pb Sr
8 10
direct
0.0000 0.0000 0.0000
0.5000 0.0000 0.0000
0.7500 0.3709 0.3709
0.7500 0.0000 0.6291
0.7500 0.6291 0.0000
0.2500 0.6291 0.6291
0.2500 0.0000 0.3709
0.2500 0.3709 0.0000
0.7500 0.7104 0.7104
0.7500 0.0000 0.2896
0.7500 0.2896 0.0000
0.2500 0.2896 0.2896
0.2500 0.0000 0.7104
0.2500 0.7104 0.0000
0.0000 0.6667 0.3333
0.5000 0.3333 0.6667
0.0000 0.3333 0.6667
0.5000 0.6667 0.3333

Entry 3:
CaMg2CI | Alexandria via LeMat-Bulk | GGA-PBEsol | relaxed; formation energy (no corrections) = 1245 meV/atom; calculated density = 2.422 g/cm3
1.0
-3.7928 0.2843 -1.7277
1.6589 -4.0123 -4.3021
-1.9521 -4.5920 3.5300
I C Ca Mg
1 1 1 2
direct
0.5000 0.5000 0.5000
0.5000 0.0000 0.0000
0.0000 0.0000 0.0000
0.0000 0.0000 0.5000
0.0000 0.5000 0.0000